[1]
Entry from Alexandria via LeMat-Bulk: a geometry-optimized Mg2InPd structure (PBE).

a b c (Å): 4.727 4.727 4.726
angles (deg): 59.99 59.99 60.00
Fractional positions:
In 0.500 0.500 0.500
Pd 0.750 0.750 0.750
Mg 0.250 0.250 0.250
Mg 0.000 0.000 0.000

## Properties
Raw total energy = -12.57 eV per cell
Total magnetization = 0.00 Bohr magnetons per cell
Energy of formation = -0.362 eV/atom
D(E_F) = 0.196 states/eV per atom

=====

[2]
Entry from Alexandria via LeMat-Bulk: a geometry-optimized MnTlI3 structure (PBE).

a b c (Å): 7.435 9.005 13.400
angles (deg): 104.54 90.00 90.00
Fractional positions:
Mn 0.256 0.082 0.980
Mn 0.756 0.918 0.520
Mn 0.744 0.918 0.020
Mn 0.244 0.082 0.480
I 0.436 0.053 0.153
I 0.936 0.947 0.347
I 0.423 0.806 0.404
I 0.714 0.650 0.078
I 0.564 0.947 0.847
I 0.577 0.194 0.596
I 0.077 0.806 0.904
I 0.214 0.350 0.422
I 0.923 0.194 0.096
I 0.064 0.053 0.653
I 0.786 0.650 0.578
I 0.286 0.350 0.922
Tl 0.753 0.313 0.877
Tl 0.747 0.313 0.377
Tl 0.253 0.687 0.623
Tl 0.247 0.687 0.123

## Properties
Raw total energy = -74.84 eV per cell
ΔE_f (raw) = -0.505 eV per atom
Total magnetization = 20.00 Bohr magnetons per cell

=====

[3]
Entry from Alexandria via LeMat-Bulk: a geometry-optimized PuTeAu structure (PBE).

a b c (Å): 3.951 3.951 5.578
angles (deg): 110.75 110.75 90.00
Fractional positions:
Te 0.613 0.613 0.227
Pu 0.950 0.950 0.899
Au 0.287 0.287 0.574

## Properties
Raw total energy = -22.57 eV per cell
ΔE_f (raw) = -0.608 eV per atom
Total magnetization = 5.16 Bohr magnetons per cell
D(E_F) = 2.667 states/eV per atom

=====

[4]
Entry from Alexandria via LeMat-Bulk: a geometry-optimized LuAl2Tl structure (PBE).

a b c (Å): 4.338 4.422 4.422
angles (deg): 90.00 90.00 90.00
Fractional positions:
Lu 0.500 0.500 0.500
Al 0.000 0.500 0.000
Al 0.000 0.000 0.500
Tl 0.500 0.000 0.000

## Properties
Raw total energy = -15.18 eV per cell
Total magnetization = 0.01 Bohr magnetons per cell
Energy of formation = -0.201 eV/atom
D(E_F) = 0.244 states/eV per atom

=====

[5]
Entry from Alexandria via LeMat-Bulk: a geometry-optimized Ho8Hg2Pb structure (PBE).

a b c (Å): 5.085 7.249 9.361
angles (deg): 104.25 105.76 90.00
Fractional positions:
Ho 0.970 0.252 0.941
Ho 0.331 0.044 0.663
Ho 0.030 0.748 0.059
Ho 0.669 0.956 0.337
Ho 0.804 0.691 0.609
Ho 0.591 0.459 0.182
Ho 0.409 0.541 0.818
Ho 0.196 0.309 0.391
Hg 0.806 0.285 0.612
Hg 0.194 0.715 0.388
Pb 0.500 0.000 0.000

## Properties
Raw total energy = -43.50 eV per cell
Total magnetization = 0.00 Bohr magnetons per cell
Energy of formation = -0.233 eV/atom
D(E_F) = 0.922 states/eV per atom

=====

[6]
Entry from Alexandria via LeMat-Bulk: a geometry-optimized Al2ReRh structure (PBE).

a b c (Å): 4.289 2.757 5.052
angles (deg): 74.19 90.00 90.00
Fractional positions:
Al 0.500 0.042 0.291
Al 0.000 0.208 0.959
Re 0.000 0.468 0.438
Rh 0.500 0.782 0.812

## Properties
Raw total energy = -28.75 eV per cell
Total magnetization = 0.00 Bohr magnetons per cell
Energy of formation = -0.365 eV/atom
D(E_F) = 0.678 states/eV per atom

=====

[7]
Entry from Alexandria via LeMat-Bulk: a geometry-optimized PrGdTlAu structure (PBE).

a b c (Å): 5.364 5.364 5.364
angles (deg): 60.00 60.00 60.00
Fractional positions:
Gd 0.250 0.250 0.250
Au 0.000 0.000 0.000
Tl 0.500 0.500 0.500
Pr 0.750 0.750 0.750

## Properties
Raw total energy = -26.68 eV per cell
Total magnetization = 7.63 Bohr magnetons per cell
Energy of formation = -0.544 eV/atom
D(E_F) = 1.262 states/eV per atom

=====

[8]
Entry from Alexandria via LeMat-Bulk: a geometry-optimized BeC2 structure (PBE).

a b c (Å): 5.906 5.906 5.906
angles (deg): 90.00 90.00 90.00
Fractional positions:
C 0.909 0.909 0.091
C 0.091 0.091 0.091
C 0.591 0.591 0.409
C 0.091 0.909 0.909
C 0.409 0.409 0.409
C 0.591 0.409 0.591
C 0.409 0.591 0.591
C 0.909 0.091 0.909
Be 0.250 0.250 0.250
Be 0.750 0.250 0.750
Be 0.250 0.750 0.750
Be 0.750 0.750 0.250

## Properties
Raw total energy = -76.61 eV per cell
Total magnetization = 0.00 Bohr magnetons per cell
Energy of formation = 1.007 eV/atom
D(E_F) = 0.000 states/eV per atom